Computed, not measured: a geometry-optimized PmSmDy3 structure at the PBE-GGA level of DFT.

Cell: 3.626 11.643 8.609 Å, 90.00 102.09 90.00°
Space group P2_1/m (No. 11)
One atom of each set of equivalent atoms:
Pm  0.189  0.250  0.379 [2 per cell]
Sm  0.488  0.750  0.967 [2 per cell]
Dy  0.151  0.750  0.297 [2 per cell]
Dy  0.343  0.002  0.688 [4 per cell]

Computed, not measured: a geometry-optimized Pm2Sm3Dy3 structure at the PBE-GGA level of DFT.

Cell: 5.091 5.094 20.348 Å, 90.00 90.00 90.00°
Space group Immm (No. 71)
One atom of each set of equivalent atoms:
Pm  0.000  0.000  0.250 [4 per cell]
Sm  0.000  0.000  0.000 [2 per cell]
Sm  0.000  0.500  0.376 [4 per cell]
Dy  0.000  0.000  0.500 [2 per cell]
Dy  0.000  0.500  0.124 [4 per cell]

Computed, not measured: a geometry-optimized Pm7Sm2Dy2 structure at the PBE-GGA level of DFT.

Cell: 10.134 9.341 8.351 Å, 90.00 105.69 90.00°
Space group C2/m (No. 12)
One atom of each set of equivalent atoms:
Pm  0.000  0.000  0.000 [2 per cell]
Pm  0.201  0.298  0.178 [8 per cell]
Pm  0.218  0.500  0.528 [4 per cell]
Sm  0.079  0.500  0.821 [4 per cell]
Dy  0.000  0.205  0.500 [4 per cell]

Computed, not measured: a geometry-optimized Pm5Sm4Dy structure at the PBE-GGA level of DFT.

Cell: 10.589 10.589 6.168 Å, 90.00 90.00 90.00°
Space group I4 (No. 79)
One atom of each set of equivalent atoms:
Pm  0.000  0.000  0.000 [2 per cell]
Pm  0.189  0.189  0.728 [8 per cell]
Sm  0.000  0.325  0.250 [8 per cell]
Dy  0.000  0.000  0.466 [2 per cell]

Computed, not measured: a geometry-optimized Pm4Sm3Dy4 structure at the PBE-GGA level of DFT.

Cell: 10.699 5.739 12.104 Å, 90.00 90.00 90.00°
Space group Amm2 (No. 38)
One atom of each set of equivalent atoms:
Pm  0.000  0.000  0.000 [2 per cell]
Pm  0.210  0.000  0.793 [4 per cell]
Pm  0.500  0.000  0.924 [2 per cell]
Sm  0.000  0.000  0.294 [2 per cell]
Sm  0.292  0.000  0.448 [4 per cell]
Dy  0.000  0.000  0.593 [2 per cell]
Dy  0.301  0.000  0.143 [4 per cell]
Dy  0.500  0.000  0.653 [2 per cell]

Computed, not measured: a geometry-optimized Pm12SmDy6 structure at the PBE-GGA level of DFT.

Cell: 13.4156 13.4156 12.6767 Å, 90.00 90.00 120.00°
Space group R-3m (No. 166, hexagonal axes)
One atom of each set of equivalent atoms:
Pm  0.0000  0.2589  0.0000 [18 per cell]
Pm  0.0905  0.1810  0.7639 [18 per cell]
Sm  0.0000  0.0000  0.5000 [3 per cell]
Dy  0.0428  0.5214  0.1188 [18 per cell]

Computed, not measured: a geometry-optimized Pm3Sm7Dy2 structure at the PBE-GGA level of DFT.

Cell: 6.5992 6.5992 33.9170 Å, 90.00 90.00 120.00°
Space group R-3m (No. 166, hexagonal axes)
One atom of each set of equivalent atoms:
Pm  0.0000  0.0000  0.0000 [3 per cell]
Pm  0.0000  0.0000  0.1528 [6 per cell]
Sm  0.0000  0.0000  0.5000 [3 per cell]
Sm  0.0040  0.5020  0.9159 [18 per cell]
Dy  0.0000  0.0000  0.3339 [6 per cell]

Computed, not measured: a geometry-optimized PmSm4Dy5 structure at the PBE-GGA level of DFT.

Cell: 10.606 10.606 6.001 Å, 90.00 90.00 90.00°
Space group I4mm (No. 107)
One atom of each set of equivalent atoms:
Pm  0.000  0.000  0.000 [2 per cell]
Sm  0.000  0.325  0.251 [8 per cell]
Dy  0.000  0.000  0.471 [2 per cell]
Dy  0.189  0.189  0.733 [8 per cell]

Computed, not measured: a geometry-optimized PmSmDy2 structure at the PBE-GGA level of DFT.

Cell: 3.5914 3.5914 35.0324 Å, 90.00 90.00 120.00°
Space group R-3m (No. 166, hexagonal axes)
One atom of each set of equivalent atoms:
Pm  0.0000  0.0000  0.0000 [3 per cell]
Sm  0.0000  0.0000  0.5000 [3 per cell]
Dy  0.0000  0.0000  0.2498 [6 per cell]

Computed, not measured: a geometry-optimized PmSm6Dy3 structure at the PBE-GGA level of DFT.

Cell: 9.761 21.304 6.451 Å, 90.00 90.00 90.00°
Space group Cmc2_1 (No. 36)
One atom of each set of equivalent atoms:
Pm  0.000  0.159  0.000 [4 per cell]
Sm  0.000  0.015  0.796 [4 per cell]
Sm  0.000  0.301  0.789 [4 per cell]
Sm  0.175  0.282  0.319 [8 per cell]
Sm  0.179  0.441  0.565 [8 per cell]
Dy  0.000  0.419  0.086 [4 per cell]
Dy  0.168  0.127  0.476 [8 per cell]

Computed, not measured: a geometry-optimized Pm6SmDy3 structure at the PBE-GGA level of DFT.

Cell: 9.806 21.370 6.455 Å, 90.00 90.00 90.00°
Space group Cmc2_1 (No. 36)
One atom of each set of equivalent atoms:
Pm  0.000  0.015  0.000 [4 per cell]
Pm  0.000  0.301  0.009 [4 per cell]
Pm  0.174  0.281  0.482 [8 per cell]
Pm  0.179  0.440  0.234 [8 per cell]
Sm  0.000  0.158  0.797 [4 per cell]
Dy  0.000  0.419  0.714 [4 per cell]
Dy  0.168  0.126  0.321 [8 per cell]

Computed, not measured: a geometry-optimized Pm2Sm5Dy3 structure at the PBE-GGA level of DFT.

Cell: 10.824 15.781 9.612 Å, 90.00 123.95 90.00°
Space group C2/c (No. 15)
One atom of each set of equivalent atoms:
Pm  0.141  0.124  0.050 [8 per cell]
Sm  0.000  0.231  0.250 [4 per cell]
Sm  0.000  0.272  0.750 [4 per cell]
Sm  0.000  0.469  0.750 [4 per cell]
Sm  0.231  0.382  0.216 [8 per cell]
Dy  0.000  0.023  0.250 [4 per cell]
Dy  0.158  0.380  0.546 [8 per cell]

Values of energy relative to the elements, in order: 1.56 0.14 1.85 2.40 1.66 3.73 3.42 2.52 0.05 1.26 1.25 1.91, all in eV per formula unit.